No. 1
The following is a PBE calculation of KSr2AgI after structural relaxation, from Alexandria.

## Properties
Formation energy (no corrections), eV/atom: -0.0455
Space-group type: P4/mmm, No. 123

POSCAR file:
```
KSr2AgI
1.0
6.3823 0.0000 0.0000
0.0000 6.3823 0.0000
0.0000 0.0000 6.3365
K Sr Ag I
1 2 1 1
direct
0.0000 0.0000 0.0000 K
0.0000 0.5000 0.5000 Sr
0.5000 0.0000 0.5000 Sr
0.5000 0.5000 0.0000 Ag
0.0000 0.0000 0.5000 I
```

No. 2
The following is a PBE calculation of K2TaAgI6 after structural relaxation, from Alexandria.

## Properties
Formation energy (no corrections), eV/atom: -0.6241
Space-group type: Fm-3m, No. 225

POSCAR file:
```
K2TaAgI6
1.0
0.0000 5.8572 5.8572
5.8572 0.0000 5.8572
5.8572 5.8572 0.0000
K Ta Ag I
2 1 1 6
direct
0.2500 0.2500 0.2500 K
0.7500 0.7500 0.7500 K
0.0000 0.0000 0.0000 Ta
0.5000 0.5000 0.5000 Ag
0.2427 0.2427 0.7573 I
0.2427 0.7573 0.2427 I
0.2427 0.7573 0.7573 I
0.7573 0.2427 0.2427 I
0.7573 0.2427 0.7573 I
0.7573 0.7573 0.2427 I
```

No. 3
The following is a PBE calculation of KTbAgI6 after structural relaxation, from Alexandria.

## Properties
Formation energy (no corrections), eV/atom: -0.9472
Space-group type: P1, No. 1

POSCAR file:
```
KTbAgI6
1.0
7.6073 0.0000 0.0000
-3.1048 6.9462 0.0000
-0.4473 -0.6755 7.8145
K Tb Ag I
1 1 1 6
direct
0.0000 0.0000 0.0000 K
0.3323 0.6668 0.5010 Tb
0.6781 0.3156 0.5036 Ag
0.0170 0.6222 0.2406 I
0.0253 0.3562 0.6922 I
0.3817 0.9824 0.7636 I
0.4087 0.3686 0.2674 I
0.6289 0.5889 0.7367 I
0.6447 0.9739 0.3116 I
```

No. 4
The following is a PBE calculation of K2TbAgI6 after structural relaxation, from Alexandria.

## Properties
Formation energy (no corrections), eV/atom: -1.1844
Space-group type: P2_1/c, No. 14

POSCAR file:
```
K2TbAgI6
1.0
8.1825 0.0000 0.0000
0.0000 8.6485 0.0000
-8.1414 0.0000 11.5629
K Tb Ag I
4 2 2 12
direct
0.2185 0.0874 0.2485 K
0.2185 0.4126 0.7485 K
0.7815 0.5874 0.2515 K
0.7815 0.9126 0.7515 K
0.5000 0.0000 0.0000 Tb
0.5000 0.5000 0.5000 Tb
0.0000 0.0000 0.5000 Ag
0.0000 0.5000 0.0000 Ag
0.1424 0.1905 0.9471 I
0.1424 0.3095 0.4471 I
0.2635 0.7004 0.9495 I
0.2635 0.7996 0.4495 I
0.3537 0.0211 0.7464 I
0.3537 0.4789 0.2464 I
0.6463 0.5211 0.7536 I
0.6463 0.9789 0.2536 I
0.7365 0.2004 0.5505 I
0.7365 0.2996 0.0505 I
0.8576 0.6905 0.5529 I
0.8576 0.8095 0.0529 I
```

No. 5
The following is a PBE calculation of KTcAgI6 after structural relaxation, from Alexandria.

## Properties
Formation energy (no corrections), eV/atom: -0.3872
Space-group type: P-31c, No. 163

POSCAR file:
```
KTcAgI6
1.0
7.6491 0.0000 0.0000
-3.8246 6.6243 0.0000
0.0000 0.0000 15.0220
K Tc Ag I
2 2 2 12
direct
0.0000 0.0000 0.0000 K
0.0000 0.0000 0.5000 K
0.3333 0.6667 0.2500 Tc
0.6667 0.3333 0.7500 Tc
0.3333 0.6667 0.7500 Ag
0.6667 0.3333 0.2500 Ag
0.0291 0.3873 0.1435 I
0.0291 0.6418 0.3565 I
0.3582 0.3873 0.3565 I
0.3582 0.9709 0.1435 I
0.3873 0.0291 0.6435 I
0.3873 0.3582 0.8565 I
0.6127 0.6418 0.1435 I
0.6127 0.9709 0.3565 I
0.6418 0.0291 0.8565 I
0.6418 0.6127 0.6435 I
0.9709 0.3582 0.6435 I
0.9709 0.6127 0.8565 I
```

No. 6
The following is a PBE calculation of KAgTe2I after structural relaxation, from Alexandria.

## Properties
Formation energy (no corrections), eV/atom: -0.1989
Space-group type: P4/mmm, No. 123
Energy above the most stable polymorph in this dataset, meV/atom: 0

POSCAR file:
```
KAgTe2I
1.0
5.4789 0.0000 0.0000
0.0000 5.4789 0.0000
0.0000 0.0000 6.1943
K Ag Te I
1 1 2 1
direct
0.0000 0.0000 0.0000 K
0.5000 0.5000 0.5000 Ag
0.0000 0.5000 0.5000 Te
0.5000 0.0000 0.5000 Te
0.5000 0.5000 0.0000 I
```